NbInCuTe after structural relaxation, computed with PBE.

The total energy comes out at -4.87 eV per atom. For the formation energy (no corrections), the calculation gives 0.14 eV/atom. The offset from the most stable computed form comes out at 148 meV per atom. The calculation puts the density of states at the Fermi level at 5.10 states/eV per cell.

It has space group Cm (No. 8), with a = 9.948 Å, b = 3.325 Å, c = 5.237 Å, α = 90.00°, β = 106.59° and γ = 90.00°. The inequivalent atoms are Nb at (0.000, 0.000, 0.000), In at (0.425, 0.000, 0.442), Cu at (0.193, 0.500, 0.397) and Te at (0.202, 0.500, 0.902).